No. 1
SrCaPr2Te4: relaxed, PBE.

Summary:
The total energy comes out at -4.7637 eV/atom. The calculation puts the energy relative to the elements, uncorrected at -1538 meV per atom.

a b c (Å): 4.5301 8.0579 7.8413
angles (deg): 71.02 90.00 90.00
Positions (direct):
Te 0.0000 0.2481 0.2559
Te 0.5000 0.2523 0.7436
Te 0.5000 0.7477 0.2564
Te 0.0000 0.7519 0.7441
Ca 0.0000 0.5000 0.5000
Sr 0.5000 0.5000 0.0000
Pr 0.0000 0.0000 0.0000
Pr 0.5000 0.0000 0.5000

***

No. 2
RbCaIn2: relaxed, PBE.

Summary:
The formation energy is -0.051 eV per atom. The total energy comes out at -2.1630 eV/atom.

a b c (Å): 5.8081 5.8081 5.8081
angles (deg): 60.00 60.00 60.00
Positions (direct):
In 0.2500 0.2500 0.2500
In 0.7500 0.7500 0.7500
Rb 0.5000 0.5000 0.5000
Ca 0.0000 0.0000 0.0000

***

No. 3
Ti4InRe: relaxed, PBE.

Summary:
The formation energy is 0.250 eV per atom. The total energy comes out at -7.5444 eV/atom.

a b c (Å): 4.4639 4.4731 7.5701
angles (deg): 72.77 72.85 60.07
Positions (direct):
Ti 0.1138 0.1117 0.6607
Ti 0.3655 0.3651 0.9040
Ti 0.8862 0.8883 0.3393
Ti 0.6345 0.6349 0.0960
Re 0.0000 0.0000 0.0000
In 0.5000 0.5000 0.5000

***

No. 4
YScTc2: relaxed, PBE.

Summary:
The formation energy is 0.119 eV per atom. The total energy comes out at -8.2628 eV/atom.

a b c (Å): 4.7282 4.7282 4.7282
angles (deg): 60.00 60.00 60.00
Positions (direct):
Tc 0.7500 0.7500 0.7500
Tc 0.2500 0.2500 0.2500
Sc 0.0000 0.0000 0.0000
Y 0.5000 0.5000 0.5000

***

Question: The lowest total energy belongs to which entry?
Answer: YScTc2